a) DFT (PBE) results for a geometry-optimized LuCdPb2 structure.

Cell and atoms, written as POSCAR:
```
LuCdPb2
1.0
5.383 0.000 0.000
2.692 4.662 0.000
2.692 1.554 4.395
Pb Lu Cd
2 1 1
Cartesian
2.692 1.554 1.099
8.075 4.662 3.296
0.000 0.000 0.000
5.383 3.108 2.198
```

Density of states at the Fermi level, states/eV/cell: 2.946
Density, kg/m³: 10565

---

b) DFT (PBE) results for a geometry-optimized LuCdPb2 structure.

Cell and atoms, written as POSCAR:
```
LuCdPb2
1.0
-3.040 1.317 2.977
-3.042 -3.473 -1.569
1.858 -3.104 3.270
Pb Lu Cd
2 1 1
Cartesian
0.929 -1.552 1.635
-1.521 -1.737 -0.785
-2.112 -2.630 2.339
-1.520 0.659 1.489
```

Density of states at the Fermi level, states/eV/cell: 2.169
Density, kg/m³: 11003

---

c) DFT (PBE) results for a geometry-optimized LuCdPb2 structure.

Cell and atoms, written as POSCAR:
```
LuCdPb2
1.0
3.976 0.000 0.000
0.000 3.976 0.000
0.000 0.000 6.936
Pb Lu Cd
2 1 1
Cartesian
0.000 0.000 5.177
0.000 0.000 1.759
1.988 1.988 0.000
1.988 1.988 3.468
```

Density of states at the Fermi level, states/eV/cell: 2.750
Density, kg/m³: 10629

---

It is b) that is most stable; the runner-up trails by 10.2 kJ/mol of atoms.

---

a) DFT (PBE) results for a geometry-optimized LuCd2Pb structure.

Cell and atoms, written as POSCAR:
```
LuCd2Pb
1.0
-4.247 -0.131 -2.491
-1.725 -2.735 3.086
-1.465 3.533 2.312
Pb Lu Cd
1 1 2
Cartesian
-3.719 0.334 1.454
-2.124 -0.066 -1.245
-0.733 1.767 1.156
-0.862 -1.367 1.543
```

Density of states at the Fermi level, states/eV/cell: 2.007
Density, kg/m³: 10245

---

b) DFT (PBE) results for a geometry-optimized LuCd2Pb structure.

Cell and atoms, written as POSCAR:
```
LuCd2Pb
1.0
-3.493 0.552 0.296
-0.599 -3.434 -0.668
0.425 -1.645 8.071
Pb Lu Cd
1 1 2
Cartesian
-1.834 -2.264 3.849
-2.046 -1.441 -0.186
0.323 -1.251 6.138
0.102 -0.394 1.933
```

Density of states at the Fermi level, states/eV/cell: 2.286
Density, kg/m³: 9702

---

c) DFT (PBE) results for a geometry-optimized LuCd2Pb structure.

Cell and atoms, written as POSCAR:
```
LuCd2Pb
1.0
5.279 0.000 0.000
2.639 4.571 0.000
2.639 1.524 4.310
Pb Lu Cd
1 1 2
Cartesian
5.279 3.048 2.155
0.000 0.000 0.000
2.639 1.524 1.077
7.918 4.571 3.232
```

Density of states at the Fermi level, states/eV/cell: 3.067
Density, kg/m³: 9692

---

It is a) that is most stable; the runner-up trails by 10.8 kJ/mol of atoms.

---

a) DFT (PBE) results for a geometry-optimized LuCdPd2 structure.

Cell and atoms, written as POSCAR:
```
LuCdPd2
1.0
-0.264 -4.390 1.753
3.961 -2.414 0.945
1.249 -0.836 4.489
Lu Pd Cd
1 2 1
Cartesian
0.000 0.000 0.000
1.237 -1.910 1.797
3.710 -5.730 5.390
2.473 -3.820 3.593
```

Density of states at the Fermi level, states/eV/cell: 1.496
Density, kg/m³: 11071

---

b) DFT (PBE) results for a geometry-optimized LuCdPd2 structure.

Cell and atoms, written as POSCAR:
```
LuCdPd2
1.0
3.518 0.000 0.000
0.000 3.518 0.000
0.000 0.000 6.087
Lu Pd Cd
1 2 1
Cartesian
1.759 1.759 0.000
0.000 0.000 4.546
0.000 0.000 1.542
1.759 1.759 3.044
```

Density of states at the Fermi level, states/eV/cell: 1.516
Density, kg/m³: 11024

---

It is a) that is most stable; the runner-up trails by 3.6 kJ/mol of atoms.